Record 1
LaCuRe2 after structural relaxation, computed with GGA-PBE.

Calculated values
Space group ... P4mm (99)
Total magnetic moment ... 0.000 μB per formula unit
ΔE_f ... 0.184 eV/atom

Cell lengths 3.1349, 3.1349, 7.5095 Å; angles 90.00, 90.00, 90.00 degrees
With the nearest neighbours (Å) after each atom.
Fractional coordinates of all 4 atoms:
Cu: 0.0000 0.0000 0.4439  5 Re 2.68-2.87
La: 0.5000 0.5000 0.7527  4 La 3.13, 4 Re 3.21, 4 Cu 3.21
Re: 0.0000 0.0000 0.0612  4 Re 2.60, 1 Cu 2.87
Re: 0.5000 0.5000 0.2422  4 Re 2.60, 4 Cu 2.68

Record 2
Ca5Mg2F12 after structural relaxation, computed with GGA-PBE.

Calculated values
Space group ... C2/m (12)
Total magnetic moment ... 1.587 μB per formula unit
ΔE_f (raw) ... -3.486 eV/atom

Cell lengths 6.1148, 6.9768, 7.4965 Å; angles 103.92, 90.00, 115.99 degrees
With the nearest neighbours (Å) after each atom.
Fractional coordinates of all 19 atoms:
Ca: 0.3048 0.6097 0.6317  7 F 2.48-2.51
Ca: 0.2966 0.5932 0.1641  7 F 2.32-2.51
Ca: 0.0000 0.0000 0.5000  6 F 2.34-2.43
Ca: 0.7034 0.4068 0.8359  7 F 2.32-2.51
Ca: 0.6952 0.3903 0.3683  7 F 2.48-2.51
Mg: 0.7567 0.0000 0.0000  6 F 2.01-2.08
Mg: 0.2433 0.0000 0.0000  6 F 2.01-2.08
F: 0.9805 0.9610 0.1681  2 Mg 2.01
F: 0.1146 0.6691 0.9200  1 Mg 2.01
F: 0.5545 0.6691 0.9200  1 Mg 2.01
F: 0.1106 0.7136 0.4059  4 Ca 2.32-2.51
F: 0.6030 0.7136 0.4059  4 Ca 2.32-2.51
F: 0.5009 0.0017 0.8190  2 Mg 2.08
F: 0.4991 0.9983 0.1810  2 Mg 2.08
F: 0.8894 0.2864 0.5941  4 Ca 2.32-2.51
F: 0.3970 0.2864 0.5941  4 Ca 2.32-2.51
F: 0.8854 0.3309 0.0800  1 Mg 2.01
F: 0.4455 0.3309 0.0800  1 Mg 2.01
F: 0.0195 0.0390 0.8319  2 Mg 2.01

Record 3
BaYSc2 after structural relaxation, computed with GGA-PBE.

Calculated values
Space group ... P4/mmm (123)
Total magnetic moment ... 0.002 μB per formula unit
ΔE_f ... 0.261 eV/atom

Cell lengths 3.5886, 3.5886, 10.2305 Å; angles 90.00, 90.00, 90.00 degrees
With the nearest neighbours (Å) after each atom.
Fractional coordinates of all 4 atoms:
Ba: 0.5000 0.5000 0.7500  4 Ba 3.59, 8 Sc 3.86
Sc: 0.0000 0.0000 0.0338  4 Y 3.37, 4 Sc 3.59
Sc: 0.0000 0.0000 0.4662  4 Y 3.37, 4 Sc 3.59
Y: 0.5000 0.5000 0.2500  8 Sc 3.37, 4 Y 3.59